[1]
Material: Pm3Cd3Ag8
Method: DFT, GGA-PBE
State: relaxed

Summary:
Symmetry: Immm
Total energy (eV/atom): -3.04
E_form (eV/atom): -0.20
M_tot (Bohr magnetons per cell): 0.00

Geometry as POSCAR:
```
Pm3Cd3Ag8
1.0
4.6886 0.0000 0.0000
2.3443 8.4053 0.1231
2.3443 2.4068 8.0543
Ag Pm Cd
8 3 3
Direct
0.3637 0.9192 0.3535
0.6363 0.6465 0.0808
0.6363 0.0808 0.6465
0.1626 0.4732 0.2016
0.8374 0.7984 0.5268
0.8374 0.5268 0.7984
0.1626 0.2016 0.4732
0.3637 0.3535 0.9192
0.5000 0.5000 0.5000
0.7927 0.2073 0.2073
0.2073 0.7927 0.7927
0.0000 0.8092 0.1908
0.5000 0.0000 0.0000
0.0000 0.1908 0.8092
```

[2]
Material: Pm3Cd2Ag4
Method: DFT, GGA-PBE
State: relaxed

Summary:
Symmetry: C2/m
ΔE to the lowest computed polymorph (kJ/mol of atoms): 0.00
Total energy (eV/atom): -3.35
E_form (eV/atom): -0.29
M_tot (Bohr magnetons per cell): 0.00

Geometry as POSCAR:
```
Pm3Cd2Ag4
1.0
-1.4885 -4.1029 -2.2553
5.5231 1.7865 -1.5443
-0.9594 -4.1385 8.1622
Cd Ag Pm
2 4 3
Direct
0.3769 0.7539 0.7105
0.6231 0.2461 0.2895
0.2756 0.5512 0.9421
0.7244 0.4488 0.0579
0.0608 0.1215 0.3944
0.9392 0.8785 0.6056
0.0000 0.0000 0.0000
0.6617 0.3233 0.6752
0.3383 0.6767 0.3248
```

[3]
Material: Pm5Cd2Ag2
Method: DFT, GGA-PBE
State: relaxed

Summary:
Symmetry: Cmce
Total energy (eV/atom): -3.64
E_form (eV/atom): -0.17
M_tot (Bohr magnetons per cell): 0.00

Geometry as POSCAR:
```
Pm5Cd2Ag2
1.0
8.1690 0.0000 0.0000
0.0000 7.3870 0.0000
0.0000 -3.6935 8.6717
Ag Pm Cd
4 10 4
Direct
0.1332 0.6148 0.0000
0.3668 0.1148 0.0000
0.8668 0.3852 0.0000
0.6332 0.8852 0.0000
0.5000 0.5000 0.0000
0.6843 0.0472 0.7280
0.8157 0.5472 0.7280
0.8157 0.8192 0.2720
0.1843 0.4528 0.2720
0.0000 0.0000 0.0000
0.1843 0.1808 0.7280
0.3157 0.6808 0.7280
0.6843 0.3192 0.2720
0.3157 0.9528 0.2720
0.0000 0.2217 0.4435
0.5000 0.7217 0.4435
0.0000 0.7783 0.5565
0.5000 0.2783 0.5565
```